(1)
Density functional theory data (GGA-PBE) for a relaxed PtS2Cl6 crystal.

abc: 4.9259 6.8856 8.4466
angles: 103.15 96.31 92.13
Closest atoms and distances in Å follow each position.
Space group P-1 (No. 2)
Asymmetric unit:
Pt (0.0000, 0.0000, 0.0000) (multiplicity 1)  2 S 2.28, 2 Cl 2.33
S (0.2740, 0.2241, 0.2000) (multiplicity 2)  2 Cl 2.04-2.06
Cl (0.0730, 0.4831, 0.2171) (multiplicity 2)  1 S 2.06
Cl (0.2458, 0.1685, 0.4244) (multiplicity 2)  1 S 2.04
Cl (0.2786, 0.1234, 0.8353) (multiplicity 2)  1 Pt 2.33

Results
formation energy without anion corrections	-285.9	meV per atom
distance to the lowest polymorph of the same formula	0.00	eV/f.u.
magnetic moment	0.00	μB per formula unit
volume	276.7	Å³/cell
uncorrected energy	-3.11	eV per atom

(2)
Density functional theory data (GGA-PBE) for a relaxed Pt2S3Cl crystal.

abc: 7.2052 7.2052 18.1462
angles: 90.00 90.00 120.00
Closest atoms and distances in Å follow each position.
Space group R-3m (No. 166, hexagonal axes)
Asymmetric unit:
Pt (0.0000, 0.0000, 0.0000) (multiplicity 3)  6 S 2.41
Pt (0.0000, 0.5000, 0.0000) (multiplicity 9)  4 S 2.39, 2 Cl 2.57
S (0.0025, 0.5012, 0.2673) (multiplicity 18)  3 Pt 2.39-2.41
Cl (0.0000, 0.0000, 0.2500) (multiplicity 6)  3 Pt 2.57

Results
formation energy without anion corrections	-210.0	meV per atom
magnetic moment	1.00	μB per formula unit
volume	815.8	Å³/cell
uncorrected energy	-4.60	eV per atom

(3)
Density functional theory data (GGA-PBE) for a relaxed PtS2Cl crystal.

abc: 2.7890 2.7890 34.9564
angles: 90.00 90.00 120.00
Closest atoms and distances in Å follow each position.
Space group R-3m (No. 166, hexagonal axes)
Asymmetric unit:
Pt (0.0000, 0.0000, 0.0000) (multiplicity 3)  2 S 2.30
S (0.0000, 0.0000, 0.0657) (multiplicity 6)  1 Pt 2.30
Cl (0.0000, 0.0000, 0.5000) (multiplicity 3)  6 Cl 2.79

Results
formation energy without anion corrections	295.8	meV per atom
distance to the lowest polymorph of the same formula	2.24	eV/f.u.
magnetic moment	0.00	μB per formula unit
volume	235.5	Å³/cell
uncorrected energy	-3.74	eV per atom